# MnSeN2F

A relaxed structure of MnSeN2F (PBE with a Hubbard U, the Alexandria database).

ΔE to the lowest computed polymorph (eV per formula unit): 1.95
Magnetic moment (μB/f.u.): 0.2
E_tot (eV per atom): -4.860
SG: P4/mmm

extended XYZ file:
```
5
Lattice="3.5273 0.0000 0.0000 0.0000 3.5273 0.0000 0.0000 0.0000 5.1219" Properties=species:S:1:pos:R:3 pbc="T T T"
F 1.7636 1.7636 2.5610
N 0.0000 1.7636 0.0000
N 1.7636 0.0000 0.0000
Se 0.0000 0.0000 2.5610
Mn 0.0000 0.0000 0.0000
```